Here is crystalline RhPbSe2F at its relaxed geometry from Alexandria via LeMat-Bulk. Energies are from GGA-PBE. Values from VASP.

* uncorrected energy: -21.0 eV/cell
* density: 6.213 g cm⁻³
* uncorrected formation energy: -0.22 eV per atom

Geometry as Quantum ESPRESSO input:
```
&SYSTEM
  ibrav = 0, nat = 5, ntyp = 4
/
ATOMIC_SPECIES
Se 78.96 Se.upf
Rh 102.91 Rh.upf
F 19.00 F.upf
Pb 207.20 Pb.upf
CELL_PARAMETERS angstrom
4.703 0.000 0.000
0.000 4.703 0.000
0.000 0.000 5.885
ATOMIC_POSITIONS angstrom
Se 0.000 2.352 0.000
Se 2.352 0.000 0.000
Rh 0.000 0.000 0.000
F 2.352 2.352 2.942
Pb 0.000 0.000 2.942
```